Here is Sc6Ni18Ge11 after structural relaxation from OQMD. Energies are from GGA-PBE.

The structure in POSCAR format:
```
Sc6Ni18Ge11
1.0
0.0000 0.0000 8.2121
9.2012 6.2598 -4.1061
-9.2012 6.2598 -4.1061
Ni Ge Sc
36 22 12
Cartesian
1.5822 4.3961 -2.3081
-4.0085 8.1761 -1.3624
1.5822 4.3961 2.3081
7.8053 6.2598 1.9173
-4.0085 4.3435 -1.3624
4.0085 8.1761 1.3624
-7.1037 7.5091 -4.1061
4.0085 4.3435 1.3624
-1.4121 2.1001 4.1061
7.1037 7.5091 -4.1061
1.4121 2.1001 4.1061
1.5822 8.1235 2.3081
-1.4121 10.4194 -4.1061
0.0000 7.7432 0.0000
-7.8053 6.2598 1.9173
5.3737 6.2598 2.7598
1.2325 6.2598 -4.1061
-7.1037 5.0105 4.1061
-4.0085 4.3435 1.3624
-1.5822 4.3961 -2.3081
4.0085 4.3435 -1.3624
-4.0085 8.1761 1.3624
-5.3737 6.2598 -2.7598
-1.5822 4.3961 2.3081
-7.8053 6.2598 -1.9173
0.0000 4.7764 0.0000
4.0085 8.1761 -1.3624
-1.5822 8.1235 2.3081
-1.2325 6.2598 -4.1061
-1.5822 8.1235 -2.3081
1.4121 10.4194 -4.1061
7.8053 6.2598 -1.9173
1.5822 8.1235 -2.3081
5.3737 6.2598 -2.7598
-5.3737 6.2598 2.7598
7.1037 5.0105 4.1061
0.0000 6.2598 1.8890
0.0000 0.0000 0.0000
2.8839 10.4186 -2.1872
-2.8839 10.4186 -2.1872
0.0000 4.0297 4.1061
2.8839 2.1010 2.1872
2.8839 10.4186 -6.0249
2.1009 3.5738 0.0000
-3.1147 6.2598 2.6541
2.1009 8.9458 0.0000
-2.8839 2.1010 6.0249
-2.1009 3.5738 0.0000
-2.8839 2.1010 2.1872
3.1147 6.2598 -2.6541
0.0000 0.0000 4.1061
3.1147 6.2598 2.6541
-2.8839 10.4186 -6.0249
-2.1009 8.9458 0.0000
0.0000 6.2598 -1.8890
-3.1147 6.2598 -2.6541
0.0000 8.4899 -4.1061
2.8839 2.1010 6.0249
0.0000 10.2414 -6.5341
4.0352 8.5538 -4.1061
0.0000 10.2414 -1.6780
-4.0352 8.5538 -4.1061
0.0000 2.2782 6.5341
4.0352 3.9658 4.1061
-2.3906 6.2598 0.0000
-4.0352 3.9658 4.1061
-5.6992 6.2598 0.0000
5.6992 6.2598 0.0000
2.3906 6.2598 0.0000
0.0000 2.2782 1.6780
```

Values from the calculation:
The calculation puts the total moment at 0.0 μB per formula unit. The calculation puts the total energy at -6.00 eV per atom.